(1)
VASP calculation (GGA-PBE) on a relaxed structure of Ho3Tl3Hg.

## Properties
Crystal system: hexagonal
Energy relative to the elements, meV per atom: -211

Cell lengths 9.0291, 9.0291, 5.3613 Å; angles 90.00, 90.00, 120.00 degrees
Last column: nearest neighbours and their distance in Å.
Sites, in units of the cell vectors:
1 Ho 0.1016 0.6472 0.2500  4 Tl 3.17-3.27, 3 Hg 3.35-3.51, 2 Ho 3.48
2 Ho 0.3528 0.4544 0.2500  4 Tl 3.17-3.27, 3 Hg 3.35-3.51, 2 Ho 3.48
3 Ho 0.4544 0.1016 0.7500  4 Tl 3.17-3.27, 3 Hg 3.35-3.51, 2 Ho 3.48
4 Ho 0.5456 0.8984 0.2500  4 Tl 3.17-3.27, 3 Hg 3.35-3.51, 2 Ho 3.48
5 Ho 0.6472 0.5456 0.7500  4 Tl 3.17-3.27, 3 Hg 3.35-3.51, 2 Ho 3.48
6 Ho 0.8984 0.3528 0.7500  4 Tl 3.17-3.27, 3 Hg 3.35-3.51, 2 Ho 3.48
7 Tl 0.0513 0.8040 0.7500  4 Ho 3.17-3.27, 1 Hg 3.34, 6 Tl 3.37-3.54
8 Tl 0.1960 0.2473 0.7500  4 Ho 3.17-3.27, 1 Hg 3.34, 6 Tl 3.37-3.54
9 Tl 0.2473 0.0513 0.2500  4 Ho 3.17-3.27, 1 Hg 3.34, 6 Tl 3.37-3.54
10 Tl 0.7527 0.9487 0.7500  4 Ho 3.17-3.27, 1 Hg 3.34, 6 Tl 3.37-3.54
11 Tl 0.8040 0.7527 0.2500  4 Ho 3.17-3.27, 1 Hg 3.34, 6 Tl 3.37-3.54
12 Tl 0.9487 0.1960 0.2500  4 Ho 3.17-3.27, 1 Hg 3.34, 6 Tl 3.37-3.54
13 Hg 0.3333 0.6667 0.7500  3 Tl 3.34, 9 Ho 3.35-3.51
14 Hg 0.6667 0.3333 0.2500  3 Tl 3.34, 9 Ho 3.35-3.51

---

(2)
VASP calculation (GGA-PBE) on a relaxed structure of Sm2TlBi.

## Properties
Crystal system: cubic
Energy relative to the elements, meV per atom: -458
Excess energy over the best structure of this formula in the dataset, meV per atom: 164

Cell lengths 5.5292, 5.5292, 5.5292 Å; angles 60.00, 60.00, 60.00 degrees
Last column: nearest neighbours and their distance in Å.
Sites, in units of the cell vectors:
1 Sm 0.2500 0.2500 0.2500  4 Bi 3.39, 4 Tl 3.39
2 Sm 0.7500 0.7500 0.7500  4 Bi 3.39, 4 Tl 3.39
3 Tl 0.0000 0.0000 0.0000  8 Sm 3.39
4 Bi 0.5000 0.5000 0.5000  8 Sm 3.39

---

(3)
VASP calculation (GGA-PBE) on a relaxed structure of ReTeCl2.

## Properties
Crystal system: orthorhombic
Excess energy over the best structure of this formula in the dataset, meV per atom: 1245
Formation energy without anion corrections, meV/atom: 1166.4

Cell lengths 5.4887, 5.4887, 3.1184 Å; angles 90.00, 90.00, 113.85 degrees
Last column: nearest neighbours and their distance in Å.
Sites, in units of the cell vectors:
1 Re 0.0000 0.0000 0.0000  2 Te 3.00, 2 Re 3.12, 8 Cl 3.16
2 Te 0.5000 0.5000 0.0000  2 Re 3.00, 2 Te 3.12, 8 Cl 3.16
3 Cl 0.0000 0.5000 0.5000  4 Cl 3.00-3.12, 4 Te 3.16, 4 Re 3.16
4 Cl 0.5000 0.0000 0.5000  4 Cl 3.00-3.12, 4 Te 3.16, 4 Re 3.16

---

(4)
VASP calculation (GGA-PBE) on a relaxed structure of Dy7Y4Tm.

## Properties
Crystal system: triclinic
Energy relative to the elements, meV per atom: 2
Excess energy over the best structure of this formula in the dataset, meV per atom: 0

Cell lengths 6.2005, 7.1584, 8.8052 Å; angles 90.01, 103.56, 90.01 degrees
Last column: nearest neighbours and their distance in Å.
Sites, in units of the cell vectors:
1 Dy 0.0000 0.0000 0.0000  6 Dy 3.52-3.59, 4 Y 3.53, 2 Tm 3.58
2 Dy 0.2209 0.5004 0.6662  6 Dy 3.51-3.59, 5 Y 3.52-3.58, 1 Tm 3.52
3 Dy 0.2765 0.2510 0.3328  5 Dy 3.51-3.59, 1 Tm 3.51, 6 Y 3.52-3.60
4 Dy 0.4991 0.2506 0.0010  7 Dy 3.51-3.59, 3 Y 3.52-3.53, 2 Tm 3.57-3.58
5 Dy 0.5009 0.7494 0.9990  7 Dy 3.51-3.59, 3 Y 3.52-3.53, 2 Tm 3.57-3.58
6 Dy 0.7235 0.7490 0.6672  5 Dy 3.51-3.59, 1 Tm 3.51, 6 Y 3.52-3.60
7 Dy 0.7791 0.4996 0.3338  6 Dy 3.51-3.59, 5 Y 3.52-3.58, 1 Tm 3.52
8 Y 0.2229 0.0003 0.6663  8 Dy 3.52-3.59, 4 Y 3.52-3.60
9 Y 0.2793 0.7484 0.3336  8 Dy 3.52-3.60, 1 Tm 3.52, 3 Y 3.53-3.60
10 Y 0.7207 0.2516 0.6664  8 Dy 3.52-3.60, 1 Tm 3.52, 3 Y 3.53-3.60
11 Y 0.7771 0.9997 0.3337  8 Dy 3.52-3.59, 4 Y 3.52-3.60
12 Tm 0.0000 0.5000 0.0000  10 Dy 3.51-3.58, 2 Y 3.52

---

(5)
VASP calculation (GGA-PBE) on a relaxed structure of LaZnCd2Pt2.

## Properties
Crystal system: tetragonal
Energy relative to the elements, meV per atom: -141

Cell lengths 8.5790, 8.5790, 8.5790 Å; angles 150.50, 150.50, 42.21 degrees
Last column: nearest neighbours and their distance in Å.
Sites, in units of the cell vectors:
1 La 0.0000 0.0000 0.0000  4 Zn 3.09
2 Zn 0.5000 0.5000 0.0000  2 Pt 2.33
3 Cd 0.2500 0.7500 0.5000  4 Pt 2.75
4 Cd 0.7500 0.2500 0.5000  4 Pt 2.75
5 Pt 0.3542 0.3542 0.0000  1 Zn 2.33
6 Pt 0.6458 0.6458 0.0000  1 Zn 2.33

---

(6)
VASP calculation (GGA-PBE) on a relaxed structure of Gd2TmZr.

## Properties
Crystal system: cubic
Energy relative to the elements, meV per atom: 171
Excess energy over the best structure of this formula in the dataset, meV per atom: 85

Cell lengths 5.4946, 5.4946, 5.4946 Å; angles 60.00, 60.00, 60.00 degrees
Last column: nearest neighbours and their distance in Å.
Sites, in units of the cell vectors:
1 Gd 0.2500 0.2500 0.2500  4 Zr 3.36, 4 Tm 3.36
2 Gd 0.7500 0.7500 0.7500  4 Zr 3.36, 4 Tm 3.36
3 Tm 0.0000 0.0000 0.0000  8 Gd 3.36
4 Zr 0.5000 0.5000 0.5000  8 Gd 3.36

---

(7)
VASP calculation (GGA-PBE) on a relaxed structure of Ta2Mn2Fe.

## Properties
Crystal system: tetragonal
Energy relative to the elements, meV per atom: 502
Excess energy over the best structure of this formula in the dataset, meV per atom: 419

Cell lengths 6.9742, 6.9742, 3.0005 Å; angles 90.00, 90.00, 90.00 degrees
Last column: nearest neighbours and their distance in Å.
Sites, in units of the cell vectors:
1 Ta 0.1565 0.3435 0.0000  6 Mn 2.46-2.59, 2 Fe 2.63
2 Ta 0.3435 0.8435 0.0000  6 Mn 2.46-2.59, 2 Fe 2.63
3 Ta 0.6565 0.1565 0.0000  6 Mn 2.46-2.59, 2 Fe 2.63
4 Ta 0.8435 0.6565 0.0000  6 Mn 2.46-2.59, 2 Fe 2.63
5 Mn 0.1453 0.6453 0.5000  6 Ta 2.46-2.59
6 Mn 0.3547 0.1453 0.5000  6 Ta 2.46-2.59
7 Mn 0.6453 0.8547 0.5000  6 Ta 2.46-2.59
8 Mn 0.8547 0.3547 0.5000  6 Ta 2.46-2.59
9 Fe 0.0000 0.0000 0.0000  4 Ta 2.63
10 Fe 0.5000 0.5000 0.0000  4 Ta 2.63

---

(8)
VASP calculation (GGA-PBE) on a relaxed structure of POsS2O.

## Properties
Crystal system: tetragonal
Excess energy over the best structure of this formula in the dataset, meV per atom: 0
Formation energy without anion corrections, meV/atom: 1060.3

Cell lengths 4.4562, 4.4562, 4.7491 Å; angles 90.00, 90.00, 90.00 degrees
Last column: nearest neighbours and their distance in Å.
Sites, in units of the cell vectors:
1 P 0.0000 0.0000 0.0000  2 Os 2.37
2 Os 0.0000 0.0000 0.5000  4 S 2.23, 2 P 2.37
3 S 0.0000 0.5000 0.5000  2 Os 2.23
4 S 0.5000 0.0000 0.5000  2 Os 2.23
5 O 0.5000 0.5000 0.0000  4 P 3.15, 8 S 3.26

---

(9)
VASP calculation (GGA-PBE) on a relaxed structure of Ca2AcPr4.

## Properties
Crystal system: tetragonal
Energy relative to the elements, meV per atom: 712
Excess energy over the best structure of this formula in the dataset, meV per atom: 600

Cell lengths 9.9938, 9.9938, 9.9938 Å; angles 144.68, 144.68, 50.81 degrees
Last column: nearest neighbours and their distance in Å.
Sites, in units of the cell vectors:
1 Ca 0.1164 0.1164 0.0000  5 Pr 3.66-3.69
2 Ca 0.8836 0.8836 0.0000  5 Pr 3.66-3.69
3 Ac 0.5000 0.5000 0.0000  6 Pr 3.03-3.27
4 Pr 0.0000 0.5000 0.5000  2 Ac 3.03
5 Pr 0.3189 0.3189 0.0000  1 Ac 3.27, 1 Ca 3.66
6 Pr 0.5000 0.0000 0.5000  2 Ac 3.03
7 Pr 0.6811 0.6811 0.0000  1 Ac 3.27, 1 Ca 3.66

---

(10)
VASP calculation (GGA-PBE) on a relaxed structure of LiZn5Pt3.

## Properties
Crystal system: hexagonal
Energy relative to the elements, meV per atom: -448

Cell lengths 7.6585, 7.6585, 5.2442 Å; angles 90.00, 90.00, 120.00 degrees
Last column: nearest neighbours and their distance in Å.
Sites, in units of the cell vectors:
1 Li 0.0000 0.0000 0.0000  2 Li 2.62, 6 Zn 2.70
2 Li 0.0000 0.0000 0.5000  2 Li 2.62, 6 Zn 2.70
3 Zn 0.0000 0.3088 0.2500  5 Pt 2.56-2.65, 2 Li 2.70
4 Zn 0.0000 0.6912 0.7500  5 Pt 2.56-2.65, 2 Li 2.70
5 Zn 0.3088 0.0000 0.2500  5 Pt 2.56-2.65, 2 Li 2.70
6 Zn 0.3088 0.3088 0.7500  5 Pt 2.56-2.65, 2 Li 2.70
7 Zn 0.3333 0.6667 0.0000  2 Zn 2.62, 6 Pt 2.80
8 Zn 0.3333 0.6667 0.5000  2 Zn 2.62, 6 Pt 2.80
9 Zn 0.6667 0.3333 0.0000  2 Zn 2.62, 6 Pt 2.80
10 Zn 0.6667 0.3333 0.5000  2 Zn 2.62, 6 Pt 2.80
11 Zn 0.6912 0.0000 0.7500  5 Pt 2.56-2.65, 2 Li 2.70
12 Zn 0.6912 0.6912 0.2500  5 Pt 2.56-2.65, 2 Li 2.70
13 Pt 0.0000 0.3542 0.7500  9 Zn 2.56-2.80
14 Pt 0.0000 0.6458 0.2500  9 Zn 2.56-2.80
15 Pt 0.3542 0.0000 0.7500  9 Zn 2.56-2.80
16 Pt 0.3542 0.3542 0.2500  9 Zn 2.56-2.80
17 Pt 0.6458 0.0000 0.2500  9 Zn 2.56-2.80
18 Pt 0.6458 0.6458 0.7500  9 Zn 2.56-2.80

---

Number 1: calculated density 11.5 Mg/m³. Number 2: calculated density 9.9 Mg/m³. Number 3: calculated density 7.4 Mg/m³. Number 4: calculated density 7.3 Mg/m³. Number 5: calculated density 8.9 Mg/m³. Number 6: calculated density 8.1 Mg/m³. Number 7: calculated density 12.0 Mg/m³. Number 8: calculated density 5.3 Mg/m³. Number 9: calculated density 4.4 Mg/m³. Number 10: calculated density 11.5 Mg/m³.